The following is a DFT calculation (PBE) of HfSnNO after structural relaxation.

Summary:
space group: Pmc2_1 (26)
V: 16.88 A^3/atom
final energy: -8.15 eV per atom
relative energy among the computed polymorphs: 148 meV per atom

The structure in extended XYZ format:
```
8
Lattice="3.6183 0.0000 0.0000 0.0000 7.1479 0.0000 0.0000 0.0000 5.2202" Properties=species:S:1:pos:R:3 pbc="T T T"
Hf 0.0000 0.9878 0.0000
Hf 0.0000 6.1601 2.6101
Sn 1.8092 2.6853 2.4648
Sn 1.8092 4.4626 5.0749
N 0.0000 0.9782 2.0573
N 0.0000 6.1696 4.6674
O 1.8092 1.4898 4.5451
O 1.8092 5.6581 1.9350
```

The following is a DFT calculation (PBE) of Cu9Ag after structural relaxation.

Summary:
space group: P4/mmm (123)
V: 12.45 A^3/atom
energy of formation from the pure elements: 0.036 eV/atom
final energy: -3.59 eV per atom
relative energy among the computed polymorphs: 0 meV per atom

The structure in extended XYZ format:
```
10
Lattice="2.6419 0.0000 0.0000 0.0000 2.6419 0.0000 0.0000 0.0000 17.8385" Properties=species:S:1:pos:R:3 pbc="T T T"
Cu 0.0000 0.0000 0.0000
Cu 0.0000 0.0000 3.4576
Cu 0.0000 0.0000 6.8801
Cu 0.0000 0.0000 10.9583
Cu 0.0000 0.0000 14.3809
Cu 1.3210 1.3210 1.7308
Cu 1.3210 1.3210 5.1711
Cu 1.3210 1.3210 12.6673
Cu 1.3210 1.3210 16.1077
Ag 1.3210 1.3210 8.9192
```

The following is a DFT calculation (PBE) of Cu2PtSe3 after structural relaxation.

Summary:
space group: Cc (9)
V: 21.50 A^3/atom
final energy: -4.10 eV per atom

The structure in extended XYZ format:
```
12
Lattice="3.4063 -5.8428 0.0000 3.4063 5.8428 0.0000 -2.4955 0.0000 6.4814" Properties=species:S:1:pos:R:3 pbc="T T T"
Cu 2.1586 4.8436 3.2407
Cu 0.9510 2.9603 6.4597
Cu 2.1988 -2.9603 3.2190
Cu 3.4063 -4.8436 0.0000
Pt 2.1594 1.1199 3.3372
Pt 3.4072 -1.1199 0.0965
Se -0.1029 0.9455 2.4014
Se -1.3507 -0.9455 5.6421
Se 3.3770 2.9780 2.3756
Se 2.0330 0.9155 5.7467
Se 3.2808 -0.9155 2.5060
Se 2.1292 -2.9780 5.6163
```

The following is a DFT calculation (PBE) of CdInB2 after structural relaxation.

Summary:
space group: F-43m (216)
V: 16.51 A^3/atom
final energy: -2.54 eV per atom

The structure in extended XYZ format:
```
4
Lattice="0.0000 3.2083 3.2083 3.2083 0.0000 3.2083 3.2083 3.2083 0.0000" Properties=species:S:1:pos:R:3 pbc="T T T"
Cd 0.0000 0.0000 0.0000
In 4.8124 4.8124 4.8124
B 1.6041 1.6041 1.6041
B 3.2083 3.2083 3.2083
```

The following is a DFT calculation (PBE) of BeNbAs after structural relaxation.

Summary:
space group: F-43m (216)
V: 15.25 A^3/atom
final energy: -5.77 eV per atom
relative energy among the computed polymorphs: 0 meV per atom

The structure in extended XYZ format:
```
3
Lattice="0.0000 2.8388 2.8388 2.8388 0.0000 2.8388 2.8388 2.8388 0.0000" Properties=species:S:1:pos:R:3 pbc="T T T"
Be 0.0000 0.0000 0.0000
Nb 1.4194 1.4194 1.4194
As 4.2582 4.2582 4.2582
```

The following is a DFT calculation (PBE) of Hf4TlN3 after structural relaxation.

Summary:
space group: P6_3/mmc (194)
V: 14.28 A^3/atom
final energy: -9.73 eV per atom

The structure in extended XYZ format:
```
16
Lattice="3.2233 0.0000 0.0000 -1.6116 2.7915 0.0000 0.0000 0.0000 25.3886" Properties=species:S:1:pos:R:3 pbc="T T T"
Hf 0.0000 0.0000 3.8649
Hf 0.0000 0.0000 8.8294
Hf 0.0000 0.0000 16.5592
Hf 0.0000 0.0000 21.5237
Hf 0.0000 1.8610 1.3505
Hf 0.0000 1.8610 11.3438
Hf 1.6117 0.9305 14.0448
Hf 1.6117 0.9305 24.0381
Tl 0.0000 1.8610 6.3471
Tl 1.6117 0.9305 19.0414
N 0.0000 0.0000 0.0000
N 0.0000 0.0000 12.6943
N 0.0000 1.8610 15.2980
N 0.0000 1.8610 22.7849
N 1.6117 0.9305 2.6037
N 1.6117 0.9305 10.0906
```

The following is a DFT calculation (PBE) of BeNi after structural relaxation.

Summary:
space group: Fm-3m (225)
V: 9.80 A^3/atom
final energy: -4.55 eV per atom

The structure in extended XYZ format:
```
2
Lattice="0.0000 2.1399 2.1399 2.1399 0.0000 2.1399 2.1399 2.1399 0.0000" Properties=species:S:1:pos:R:3 pbc="T T T"
Be 0.0000 0.0000 0.0000
Ni 2.1399 2.1399 2.1399
```

The following is a DFT calculation (PBE) of Sc2OsWC6 after structural relaxation.

Summary:
space group: R-3 (148)
V: 12.50 A^3/atom
final energy: -8.33 eV per atom
relative energy among the computed polymorphs: 656 meV per atom

The structure in extended XYZ format:
```
10
Lattice="2.7045 1.5615 4.9319 -2.7045 1.5615 4.9319 0.0000 -3.1229 4.9319" Properties=species:S:1:pos:R:3 pbc="T T T"
Sc 0.0000 0.0000 3.0796
Sc 0.0000 0.0000 11.7162
Os 0.0000 0.0000 7.3979
W 0.0000 0.0000 0.0000
C -0.4706 -1.5789 6.2171
C -1.6026 -0.3819 8.5787
C -1.1320 1.1970 6.2171
C 1.1320 -1.1970 8.5787
C 1.6026 0.3819 6.2171
C 0.4706 1.5789 8.5787
```

The following is a DFT calculation (PBE) of NbCdFe2 after structural relaxation.

Summary:
space group: F-43m (216)
V: 15.42 A^3/atom
energy of formation from the pure elements: 0.376 eV/atom
final energy: -6.53 eV per atom

The structure in extended XYZ format:
```
4
Lattice="0.0000 3.1363 3.1363 3.1363 0.0000 3.1363 3.1363 3.1363 0.0000" Properties=species:S:1:pos:R:3 pbc="T T T"
Nb 0.0000 0.0000 0.0000
Cd 1.5681 1.5681 1.5681
Fe 3.1363 3.1363 3.1363
Fe 4.7044 4.7044 4.7044
```

The following is a DFT calculation (PBE) of KNdBe after structural relaxation.

Summary:
space group: F-43m (216)
V: 28.99 A^3/atom
final energy: -1.84 eV per atom

The structure in extended XYZ format:
```
3
Lattice="0.0000 3.5164 3.5164 3.5164 0.0000 3.5164 3.5164 3.5164 0.0000" Properties=species:S:1:pos:R:3 pbc="T T T"
K 0.0000 0.0000 0.0000
Nd 1.7582 1.7582 1.7582
Be 5.2746 5.2746 5.2746
```

The following is a DFT calculation (PBE) of DyNbHg after structural relaxation.

Summary:
space group: F-43m (216)
V: 27.56 A^3/atom
energy of formation from the pure elements: 0.945 eV/atom
final energy: -4.05 eV per atom
relative energy among the computed polymorphs: 383 meV per atom

The structure in extended XYZ format:
```
3
Lattice="0.0000 3.4577 3.4577 3.4577 0.0000 3.4577 3.4577 3.4577 0.0000" Properties=species:S:1:pos:R:3 pbc="T T T"
Dy 0.0000 0.0000 0.0000
Nb 1.7289 1.7289 1.7289
Hg 5.1866 5.1866 5.1866
```

The following is a DFT calculation (PBE) of NbCo2Ir after structural relaxation.

Summary:
space group: Cmcm (63)
V: 13.09 A^3/atom
energy of formation from the pure elements: -0.320 eV/atom
final energy: -8.61 eV per atom
relative energy among the computed polymorphs: 0 meV per atom

The structure in extended XYZ format:
```
8
Lattice="2.6843 -4.5781 0.0000 2.6843 4.5781 0.0000 0.0000 0.0000 4.2621" Properties=species:S:1:pos:R:3 pbc="T T T"
Nb 2.6843 3.0989 3.1966
Nb 2.6843 -3.0989 1.0655
Co 1.3839 0.7300 3.1966
Co 1.3839 -0.7300 1.0655
Co 3.9848 0.7300 3.1966
Co 3.9848 -0.7300 1.0655
Ir 2.6843 1.4591 1.0655
Ir 2.6843 -1.4591 3.1966
```

The following is a DFT calculation (PBE) of Cu5Ag4 after structural relaxation.

Summary:
space group: C2/m (12)
V: 14.58 A^3/atom
energy of formation from the pure elements: 0.092 eV/atom
final energy: -3.23 eV per atom
relative energy among the computed polymorphs: 51 meV per atom

The structure in extended XYZ format:
```
9
Lattice="7.0952 -1.3897 0.0000 7.0952 1.3897 0.0000 -0.1371 0.0000 6.6527" Properties=species:S:1:pos:R:3 pbc="T T T"
Cu 0.0000 0.0000 0.0000
Cu 1.3179 0.0000 4.2899
Cu 6.3374 0.0000 4.4751
Cu 7.7160 0.0000 2.1776
Cu 12.7355 0.0000 2.3628
Ag 2.9989 0.0000 2.2132
Ag 4.8635 0.0000 0.1530
Ag 9.1899 0.0000 6.4996
Ag 11.0545 0.0000 4.4394
```

The following is a DFT calculation (PBE) of Li3As4HAu2O14 after structural relaxation.

Summary:
space group: P-1 (2)
V: 12.41 A^3/atom
final energy: -5.43 eV per atom

The structure in extended XYZ format:
```
24
Lattice="5.0574 0.0000 0.0000 -2.3410 4.7311 0.0000 -1.8295 -1.2803 12.4432" Properties=species:S:1:pos:R:3 pbc="T T T"
Li 0.0000 0.0000 0.0000
Li 0.4971 0.3071 6.5891
Li 0.3899 3.1437 5.8541
As -1.9026 1.9401 7.8136
As -1.4864 1.7230 10.9413
As 2.3734 1.7278 1.5018
As 2.7896 1.5107 4.6295
H 2.5287 0.0000 0.0000
Au -1.9170 4.3340 3.2043
Au 2.8039 -0.8832 9.2389
O -2.4531 2.1715 9.5146
O -1.1422 0.3918 7.8800
O -1.2856 0.0299 10.9686
O -0.8000 1.5180 5.4607
O -2.3041 2.4477 12.2483
O 0.8360 1.0037 1.6731
O -0.9015 3.3317 7.5477
O 1.7885 0.1191 4.8954
O 0.0509 2.4471 10.7700
O 3.1910 1.0031 0.1949
O 1.6869 1.9328 6.9824
O 2.1725 3.4209 1.4746
O 2.0291 3.0589 4.5632
O 3.3400 1.2793 2.9285
```

The following is a DFT calculation (PBE) of Rb2Zn2BiP after structural relaxation.

Summary:
space group: P-6m2 (187)
V: 32.32 A^3/atom
final energy: -2.58 eV per atom

The structure in extended XYZ format:
```
6
Lattice="4.4818 0.0000 0.0000 -2.2409 3.8814 0.0000 0.0000 0.0000 11.1471" Properties=species:S:1:pos:R:3 pbc="T T T"
Rb 0.0000 0.0000 2.6021
Rb 0.0000 0.0000 8.5450
Zn 0.0000 2.5876 5.5736
Zn 2.2409 1.2938 0.0000
Bi 2.2409 1.2938 5.5736
P 0.0000 2.5876 0.0000
```

The following is a DFT calculation (PBE) of YAlIr2 after structural relaxation.

Summary:
space group: F-43m (216)
V: 17.57 A^3/atom
final energy: -7.17 eV per atom

The structure in extended XYZ format:
```
4
Lattice="0.0000 3.2751 3.2751 3.2751 0.0000 3.2751 3.2751 3.2751 0.0000" Properties=species:S:1:pos:R:3 pbc="T T T"
Y 0.0000 0.0000 0.0000
Al 4.9127 4.9127 4.9127
Ir 1.6376 1.6376 1.6376
Ir 3.2751 3.2751 3.2751
```

The following is a DFT calculation (PBE) of TbPaW after structural relaxation.

Summary:
space group: F-43m (216)
V: 26.49 A^3/atom
energy of formation from the pure elements: 0.601 eV/atom
final energy: -8.43 eV per atom
relative energy among the computed polymorphs: 0 meV per atom

The structure in extended XYZ format:
```
3
Lattice="0.0000 3.4126 3.4126 3.4126 0.0000 3.4126 3.4126 3.4126 0.0000" Properties=species:S:1:pos:R:3 pbc="T T T"
Tb 0.0000 0.0000 0.0000
Pa 3.4126 3.4126 3.4126
W 1.7063 1.7063 1.7063
```

The following is a DFT calculation (PBE) of LiUInS3 after structural relaxation.

Summary:
space group: Cmcm (63)
V: 24.00 A^3/atom
final energy: -5.79 eV per atom

The structure in extended XYZ format:
```
12
Lattice="2.0176 -6.7718 0.0000 2.0176 6.7718 0.0000 0.0000 0.0000 10.5402" Properties=species:S:1:pos:R:3 pbc="T T T"
Li 2.0176 6.1252 7.9052
Li 2.0176 -6.1252 2.6351
U 2.0176 0.0000 0.0000
U 2.0176 0.0000 5.2701
In 2.0176 3.6410 2.6351
In 2.0176 -3.6410 7.9052
S 2.0176 5.0588 5.7595
S 2.0176 5.0588 10.0509
S 2.0176 0.7267 7.9052
S 2.0176 -0.7267 2.6351
S 2.0176 -5.0588 0.4893
S 2.0176 -5.0588 4.7808
```

The following is a DFT calculation (PBE) of YNpI6 after structural relaxation.

Summary:
space group: C2 (5)
V: 47.34 A^3/atom
final energy: -4.73 eV per atom

The structure in extended XYZ format:
```
8
Lattice="3.8684 -6.7103 0.0000 3.8684 6.7103 0.0000 -2.5221 0.0000 7.2949" Properties=species:S:1:pos:R:3 pbc="T T T"
Y 0.0000 0.0000 0.0000
Np 3.8684 -2.2530 0.0000
I 1.1276 2.1822 1.8046
I -0.0390 -0.0990 5.5269
I 1.3095 -2.1091 1.7661
I 4.0872 2.1822 5.4903
I 5.2538 -0.0990 1.7680
I 3.9053 -2.1091 5.5288
```

The following is a DFT calculation (PBE) of MgPd after structural relaxation.

Summary:
space group: Pmmn (59)
V: 16.67 A^3/atom
final energy: -3.86 eV per atom

The structure in extended XYZ format:
```
16
Lattice="4.6509 0.0000 0.0000 0.0000 5.8381 0.0000 0.0000 0.0000 9.8209" Properties=species:S:1:pos:R:3 pbc="T T T"
Mg 1.1627 0.0075 0.9126
Mg 1.1627 1.4595 3.5475
Mg 1.1627 1.4595 7.8899
Mg 1.1627 2.9116 0.9126
Mg 3.4882 2.9265 8.9083
Mg 3.4882 4.3786 1.9310
Mg 3.4882 4.3786 6.2735
Mg 3.4882 5.8306 8.9083
Pd 1.1627 2.9592 5.7739
Pd 1.1627 4.3786 3.2680
Pd 1.1627 4.3786 8.3343
Pd 1.1627 5.7980 5.7739
Pd 3.4882 0.0401 4.0470
Pd 3.4882 1.4595 1.4866
Pd 3.4882 1.4595 6.5529
Pd 3.4882 2.8789 4.0470
```

The following is a DFT calculation (PBE) of Y2Pd2Pt after structural relaxation.

Summary:
space group: I4/mmm (139)
V: 20.02 A^3/atom
energy of formation from the pure elements: -0.563 eV/atom
final energy: -6.43 eV per atom

The structure in extended XYZ format:
```
5
Lattice="-1.9414 1.9414 6.6409 1.9414 -1.9414 6.6409 1.9414 1.9414 -6.6409" Properties=species:S:1:pos:R:3 pbc="T T T"
Y 0.0000 0.0000 1.3985
Y 0.0000 0.0000 11.8833
Pd 1.9414 0.0000 3.3205
Pd 0.0000 1.9414 3.3205
Pt 0.0000 0.0000 6.6409
```

The following is a DFT calculation (PBE) of CdCuReBi after structural relaxation.

Summary:
space group: F-43m (216)
V: 18.63 A^3/atom
final energy: -4.44 eV per atom
relative energy among the computed polymorphs: 0 meV per atom

The structure in extended XYZ format:
```
4
Lattice="0.0000 3.3399 3.3399 3.3399 0.0000 3.3399 3.3399 3.3399 0.0000" Properties=species:S:1:pos:R:3 pbc="T T T"
Cd 0.0000 0.0000 0.0000
Cu 5.0099 5.0099 5.0099
Re 1.6700 1.6700 1.6700
Bi 3.3399 3.3399 3.3399
```

The following is a DFT calculation (PBE) of NiH16C4S4N8Cl2 after structural relaxation.

Summary:
space group: I4 (79)
V: 11.27 A^3/atom
final energy: -5.52 eV per atom

The structure in extended XYZ format:
```
35
Lattice="-4.7472 4.7472 4.3743 4.7472 -4.7472 4.3743 4.7472 4.7472 -4.3743" Properties=species:S:1:pos:R:3 pbc="T T T"
Ni 0.0000 0.0000 0.0000
H 3.2310 3.1613 -2.4125
H 1.5859 -1.5162 1.9617
H 4.8714 1.4478 -0.3284
H 3.1613 6.2634 -2.4125
H 4.7377 2.6619 0.9386
H 1.5162 1.5859 1.9617
H 1.4478 4.6230 -0.3284
H 3.2994 0.1242 4.0459
H 2.8211 2.7116 2.3273
H 2.0356 -1.9261 6.7015
H 2.0853 -0.0095 5.3129
H 2.6619 4.7567 0.9386
H -0.1242 3.2994 4.0459
H 0.0095 2.0853 5.3129
H 2.7116 6.6733 2.3273
H 1.9261 2.0356 6.7015
C 3.1027 1.4389 0.7049
C 3.3083 -1.6445 5.0792
C 1.4389 6.3917 0.7049
C 1.6445 3.3083 5.0792
S 4.5101 -2.3576 4.0833
S 4.9843 2.3576 4.0833
S 2.3576 4.5101 4.0833
S -2.3576 4.9843 4.0833
N 4.3306 1.8810 0.4156
N 2.4500 1.9510 1.7505
N 2.7962 -2.2972 6.1247
N 2.8662 -0.4166 4.7899
N 1.8810 5.1638 0.4156
N 0.4166 2.8662 4.7899
N 1.9510 7.0444 1.7505
N 2.2972 2.7962 6.1247
Cl 0.0000 0.0000 2.4133
Cl 0.0000 0.0000 6.2310
```

Summary of mass density in Mg/m³
8.05 9.07 7.20 6.26 6.42 13.96 5.74 7.12 8.53 3.67 9.16 12.78 9.48 5.24 4.64 11.82 11.99 5.26 4.77 6.51 9.71 12.73 1.83
(order as listed above)